EuMoO3: optimized geometry, GGA+U.

Properties
The value obtained for the total moment is 9.00 μB per cell. As for the space-group type: Pm-3m, No. 221. The calculation puts the total energy at -8.625 eV per atom.

a b c (Å): 4.0824 4.0824 4.0824
angles (deg): 90.00 90.00 90.00
Each line ends with the local moment (μB).
Atoms (fractional coordinates):
O 0.0000 0.5000 0.5000  -0.01
O 0.5000 0.0000 0.5000  -0.01
O 0.5000 0.5000 0.0000  -0.01
Mo 0.5000 0.5000 0.5000  2.05
Eu 0.0000 0.0000 0.0000  6.76